(1)
Compound: CaTlCdAg
Source: the Alexandria database
Functional: GGA-PBE
Structure: optimized geometry

Calculated values
The value obtained for the total energy is -0.083 hartree per atom. The calculation puts the formation energy at -0.87 eV/f.u. As for the space group: F-43m (216). The crystal system is cubic.

Cell: 5.1414 5.1414 5.1414 Å, 60.00 60.00 60.00°
Last column: nearest neighbours and their distance in Å.
Fractional coordinates of all 4 atoms:
Ag 0.0000 0.0000 0.0000  4 Cd 3.15, 4 Ca 3.15
Tl 0.5000 0.5000 0.5000  4 Cd 3.15, 4 Ca 3.15
Ca 0.2500 0.2500 0.2500  4 Tl 3.15, 4 Ag 3.15
Cd 0.7500 0.7500 0.7500  4 Tl 3.15, 4 Ag 3.15

---

(2)
Compound: LiMgI2O8
Source: the Alexandria database
Functional: GGA-PBE
Structure: optimized geometry

Calculated values
The value obtained for the total energy is -0.166 hartree per atom. As for the formation energy (no corrections): -0.659 eV per atom. As for the space group: I-4m2 (119). The crystal system is tetragonal.

Cell: 6.0038 6.0038 6.0038 Å, 107.92 107.92 112.63°
Last column: nearest neighbours and their distance in Å.
Fractional coordinates of all 12 atoms:
O 0.3210 0.1183 0.7973  1 I 1.86
O 0.9282 0.2345 0.3063  1 I 1.81
O 0.8817 0.6790 0.2027  1 I 1.86
O 0.7655 0.0718 0.6937  1 I 1.81
O 0.3781 0.0718 0.3063  1 I 1.81
O 0.3210 0.5237 0.2027  1 I 1.86
O 0.4763 0.6790 0.7973  1 I 1.86
O 0.9282 0.6219 0.6937  1 I 1.81
I 0.7500 0.2500 0.5000  4 O 1.81
I 0.5000 0.5000 0.0000  4 O 1.86
Mg 0.2500 0.7500 0.5000  4 O 2.15
Li 0.0000 0.0000 0.0000  4 O 2.22